No. 1
# MgAl2W | the Alexandria database | PBE | relaxed
# Formation energy from the elements   0.250 eV/atom
# DFT total energy   -5.26 eV/atom
data_MgAl2W
_symmetry_space_group_name_H-M 'P 4 m m'
_symmetry_Int_Tables_number 99
_cell_length_a 3.454
_cell_length_b 3.454
_cell_length_c 5.677
_cell_angle_alpha 90.00
_cell_angle_beta 90.00
_cell_angle_gamma 90.00
loop_
_symmetry_equiv_pos_as_xyz
'x,y,z'
'-y,x,z'
'-x,-y,z'
'y,-x,z'
'-x,y,z'
'y,x,z'
'x,-y,z'
'-y,-x,z'
loop_
_atom_site_label
_atom_site_type_symbol
_atom_site_fract_x
_atom_site_fract_y
_atom_site_fract_z
_atom_site_occupancy
Mg1 Mg 0.000 0.000 0.000 1
Al1 Al 0.000 0.000 0.473 1
Al2 Al 0.500 0.500 0.738 1
W1 W 0.500 0.500 0.265 1

No. 2
# AsPbF2 | the Alexandria database | PBE | relaxed
# Distance to the lowest polymorph of the same formula   401.2 meV/atom
# Formation energy from raw total energies   -80.11 kJ per mole of atoms
# DFT total energy   -3.86 eV/atom
data_AsPbF2
_symmetry_space_group_name_H-M 'F m -3 m'
_symmetry_Int_Tables_number 225
_symmetry_space_group_name_Hall '-F 4 2 3'
_cell_length_a 6.484
_cell_length_b 6.484
_cell_length_c 6.484
_cell_angle_alpha 90.00
_cell_angle_beta 90.00
_cell_angle_gamma 90.00
loop_
_atom_site_label
_atom_site_type_symbol
_atom_site_fract_x
_atom_site_fract_y
_atom_site_fract_z
_atom_site_occupancy
As1 As 0.000 0.000 0.000 1
Pb1 Pb 0.000 0.000 0.500 1
F1 F 0.250 0.250 0.250 1

No. 3
# CaPaZn17 | the Alexandria database | PBE | relaxed
# Formation energy from the elements   -0.146 eV/atom
# DFT total energy   -1.89 eV/atom
data_CaPaZn17
_symmetry_space_group_name_H-M 'R 3 m'
_symmetry_Int_Tables_number 160
_symmetry_space_group_name_Hall 'R 3 -2"'
_cell_length_a 9.0093
_cell_length_b 9.0093
_cell_length_c 13.2211
_cell_angle_alpha 90.00
_cell_angle_beta 90.00
_cell_angle_gamma 120.00
loop_
_atom_site_label
_atom_site_type_symbol
_atom_site_fract_x
_atom_site_fract_y
_atom_site_fract_z
_atom_site_occupancy
Ca1 Ca 0.0000 0.0000 0.0000 1
Pa1 Pa 0.0000 0.0000 0.3258 1
Zn1 Zn 0.0000 0.0000 0.5605 1
Zn2 Zn 0.0000 0.0000 0.7602 1
Zn3 Zn 0.0000 0.2962 0.6623 1
Zn4 Zn 0.0005 0.5003 0.1617 1
Zn5 Zn 0.0046 0.5023 0.8140 1
Zn6 Zn 0.1736 0.3471 0.8439 1

No. 4
# CeThTe2 | the Alexandria database | PBE | relaxed
# Distance to the lowest polymorph of the same formula   44.1 meV/atom
# Formation energy from raw total energies   -110.94 kJ per mole of atoms
# DFT total energy   -6.06 eV/atom
data_CeThTe2
_symmetry_space_group_name_H-M 'F m -3 m'
_symmetry_Int_Tables_number 225
_symmetry_space_group_name_Hall '-F 4 2 3'
_cell_length_a 7.681
_cell_length_b 7.681
_cell_length_c 7.681
_cell_angle_alpha 90.00
_cell_angle_beta 90.00
_cell_angle_gamma 90.00
loop_
_atom_site_label
_atom_site_type_symbol
_atom_site_fract_x
_atom_site_fract_y
_atom_site_fract_z
_atom_site_occupancy
Ce1 Ce 0.000 0.000 0.000 1
Th1 Th 0.000 0.000 0.500 1
Te1 Te 0.250 0.250 0.250 1